Entry 1:
## ScPt (GGA-PBE)

Data for a relaxed structure of ScPt.

Output
uncorrected energy	-6.783	eV per atom
formation energy	-597	meV/atom
size of the total moment	0.00	Bohr magnetons per cell

abc: 4.5760 4.5760 8.0581
angles: 90.00 90.00 120.00
Element x y z (fractional)
Sc  0.0000  0.0000  0.2500
Sc  0.0000  0.0000  0.7500
Sc  0.3333  0.6667  0.2500
Sc  0.6667  0.3333  0.7500
Pt  0.3333  0.6667  0.5815
Pt  0.3333  0.6667  0.9185
Pt  0.6667  0.3333  0.0815
Pt  0.6667  0.3333  0.4185



Entry 2:
## ScPt5 (GGA-PBE)

Data for a relaxed structure of ScPt5.

Output
uncorrected energy	-6.635	eV per atom
formation energy	-546	meV/atom
size of the total moment	0.00	Bohr magnetons per cell

abc: 5.4285 5.4285 6.6726
angles: 105.83 105.83 30.99
Element x y z (fractional)
Sc  0.0000  0.0000  0.0000
Pt  0.2811  0.2811  0.0610
Pt  0.3367  0.3367  0.6757
Pt  0.6132  0.6132  0.7290
Pt  0.6611  0.6611  0.3233
Pt  0.9482  0.9482  0.4005



Entry 3:
## ScPt2 (GGA-PBE)

Data for a relaxed structure of ScPt2.

Output
uncorrected energy	-7.261	eV per atom
formation energy	-1123	meV/atom
size of the total moment	0.00	Bohr magnetons per cell

abc: 5.6368 4.1000 8.6905
angles: 90.00 90.00 90.00
Element x y z (fractional)
Sc  0.1529  0.2500  0.1040
Sc  0.3471  0.7500  0.6040
Sc  0.6529  0.2500  0.3960
Sc  0.8471  0.7500  0.8960
Pt  0.1056  0.2500  0.7629
Pt  0.1403  0.2500  0.4251
Pt  0.3597  0.7500  0.9251
Pt  0.3944  0.7500  0.2629
Pt  0.6056  0.2500  0.7371
Pt  0.6403  0.2500  0.0749
Pt  0.8597  0.7500  0.5749
Pt  0.8944  0.7500  0.2371



Entry 4:
## ScPt3 (GGA-PBE)

Data for a relaxed structure of ScPt3.

Output
uncorrected energy	-6.526	eV per atom
formation energy	-412	meV/atom
size of the total moment	0.00	Bohr magnetons per cell

abc: 2.9388 2.9388 8.9418
angles: 90.00 90.00 120.00
Element x y z (fractional)
Sc  0.0000  0.0000  0.0000
Pt  0.0000  0.0000  0.5000
Pt  0.6667  0.3333  0.2371
Pt  0.6667  0.3333  0.7629



Entry 5:
## Sc2Pt (GGA-PBE)

Data for a relaxed structure of Sc2Pt.

Output
uncorrected energy	-7.069	eV per atom
formation energy	-834	meV/atom
size of the total moment	0.00	Bohr magnetons per cell

abc: 4.7248 4.7248 6.1300
angles: 90.00 90.00 120.00
Element x y z (fractional)
Sc  0.0000  0.0000  0.0000
Sc  0.0000  0.0000  0.5000
Sc  0.3333  0.6667  0.2500
Sc  0.6667  0.3333  0.7500
Pt  0.3333  0.6667  0.7500
Pt  0.6667  0.3333  0.2500



Entry 6:
## Sc3Pt4 (GGA-PBE)

Data for a relaxed structure of Sc3Pt4.

Output
uncorrected energy	-7.161	eV per atom
formation energy	-995	meV/atom
size of the total moment	0.00	Bohr magnetons per cell
ΔE to the lowest computed polymorph	212.9	meV/atom

abc: 10.4551 10.4551 10.4551
angles: 160.36 160.36 27.92
Element x y z (fractional)
Sc  0.0000  0.0000  0.0000
Sc  0.3003  0.3003  0.0000
Sc  0.6997  0.6997  0.0000
Pt  0.1558  0.1558  0.0000
Pt  0.4316  0.4316  0.0000
Pt  0.5684  0.5684  0.0000
Pt  0.8442  0.8442  0.0000



Entry 7:
## Sc2Pt (GGA-PBE)

Data for a relaxed structure of Sc2Pt.

Output
uncorrected energy	-7.221	eV per atom
formation energy	-986	meV/atom
size of the total moment	0.00	Bohr magnetons per cell

abc: 6.6144 4.5129 8.2426
angles: 90.00 90.00 90.00
Element x y z (fractional)
Sc  0.0132  0.2500  0.1741
Sc  0.1482  0.2500  0.5765
Sc  0.3518  0.7500  0.0765
Sc  0.4868  0.7500  0.6741
Sc  0.5132  0.2500  0.3259
Sc  0.6482  0.2500  0.9235
Sc  0.8518  0.7500  0.4235
Sc  0.9868  0.7500  0.8259
Pt  0.2410  0.2500  0.9022
Pt  0.2590  0.7500  0.4022
Pt  0.7410  0.2500  0.5978
Pt  0.7590  0.7500  0.0978



Entry 8:
## ScPt5 (GGA-PBE)

Data for a relaxed structure of ScPt5.

Output
uncorrected energy	-6.765	eV per atom
formation energy	-676	meV/atom
size of the total moment	0.00	Bohr magnetons per cell

abc: 4.9107 4.9107 5.6429
angles: 106.35 106.35 48.03
Element x y z (fractional)
Sc  0.0000  0.0000  0.0000
Pt  0.0000  0.0000  0.5000
Pt  0.3324  0.3324  0.1717
Pt  0.3368  0.3368  0.6728
Pt  0.6632  0.6632  0.3272
Pt  0.6676  0.6676  0.8283



Entry 9:
## Sc5Pt3 (GGA-PBE)

Data for a relaxed structure of Sc5Pt3.

Output
uncorrected energy	-7.253	eV per atom
formation energy	-1031	meV/atom
size of the total moment	0.00	Bohr magnetons per cell
ΔE to the lowest computed polymorph	0.3	meV/atom

abc: 8.0335 8.0335 5.6150
angles: 90.00 90.00 120.00
Element x y z (fractional)
Sc  0.0000  0.2416  0.2500
Sc  0.0000  0.7584  0.7500
Sc  0.2416  0.0000  0.2500
Sc  0.2416  0.2416  0.7500
Sc  0.3333  0.6667  0.0000
Sc  0.3333  0.6667  0.5000
Sc  0.6667  0.3333  0.0000
Sc  0.6667  0.3333  0.5000
Sc  0.7584  0.0000  0.7500
Sc  0.7584  0.7584  0.2500
Pt  0.0000  0.3964  0.7500
Pt  0.0000  0.6036  0.2500
Pt  0.3964  0.0000  0.7500
Pt  0.3964  0.3964  0.2500
Pt  0.6036  0.0000  0.2500
Pt  0.6036  0.6036  0.7500



Entry 10:
## ScPt (GGA-PBE)

Data for a relaxed structure of ScPt.

Output
uncorrected energy	-6.607	eV per atom
formation energy	-421	meV/atom
size of the total moment	0.00	Bohr magnetons per cell

abc: 4.2372 4.2372 4.2372
angles: 60.00 60.00 60.00
Element x y z (fractional)
Sc  0.0000  0.0000  0.0000
Pt  0.2500  0.2500  0.2500



Entry 11:
## Sc6Pt5 (GGA-PBE)

Data for a relaxed structure of Sc6Pt5.

Output
uncorrected energy	-7.345	eV per atom
formation energy	-1146	meV/atom
size of the total moment	0.00	Bohr magnetons per cell

abc: 8.0273 8.0273 8.0273
angles: 146.46 131.94 59.88
Element x y z (fractional)
Sc  0.0854  0.3375  0.7479
Sc  0.2466  0.0000  0.2466
Sc  0.4104  0.6625  0.7479
Sc  0.5896  0.3375  0.2521
Sc  0.7534  0.0000  0.7534
Sc  0.9146  0.6625  0.2521
Pt  0.1675  0.1675  0.0000
Pt  0.3282  0.8282  0.5000
Pt  0.5000  0.5000  0.0000
Pt  0.6718  0.1718  0.5000
Pt  0.8325  0.8325  0.0000



Entry 12:
## Sc2Pt (GGA-PBE)

Data for a relaxed structure of Sc2Pt.

Output
uncorrected energy	-6.918	eV per atom
formation energy	-683	meV/atom
size of the total moment	0.00	Bohr magnetons per cell

abc: 12.6150 12.6150 12.6150
angles: 165.17 165.17 21.03
Element x y z (fractional)
Sc  0.3098  0.5598  0.7500
Sc  0.4402  0.6902  0.7500
Sc  0.5598  0.3098  0.2500
Sc  0.6902  0.4402  0.2500
Pt  0.1250  0.8750  0.2500
Pt  0.8750  0.1250  0.7500



Entry 13:
## ScPt3 (GGA-PBE)

Data for a relaxed structure of ScPt3.

Output
uncorrected energy	-7.106	eV per atom
formation energy	-993	meV/atom
size of the total moment	0.00	Bohr magnetons per cell

abc: 8.5437 8.5437 8.5437
angles: 152.84 152.84 38.79
Element x y z (fractional)
Sc  0.1256  0.1256  0.0000
Sc  0.8744  0.8744  0.0000
Pt  0.0000  0.5000  0.5000
Pt  0.2500  0.7500  0.5000
Pt  0.3771  0.3771  0.0000
Pt  0.5000  0.0000  0.5000
Pt  0.6229  0.6229  0.0000
Pt  0.7500  0.2500  0.5000



Entry 14:
## ScPt2 (GGA-PBE)

Data for a relaxed structure of ScPt2.

Output
uncorrected energy	-6.775	eV per atom
formation energy	-637	meV/atom
size of the total moment	0.00	Bohr magnetons per cell

abc: 3.1021 3.1021 6.3535
angles: 90.00 90.00 120.00
Element x y z (fractional)
Sc  0.0000  0.0000  0.0000
Pt  0.3333  0.6667  0.6840
Pt  0.6667  0.3333  0.3160



Entry 15:
## ScPt (GGA-PBE)

Data for a relaxed structure of ScPt.

Output
uncorrected energy	-7.151	eV per atom
formation energy	-964	meV/atom
size of the total moment	0.00	Bohr magnetons per cell

abc: 7.5099 7.5099 5.1286
angles: 90.00 90.00 120.00
Element x y z (fractional)
Sc  0.0938  0.3353  0.2500
Sc  0.2414  0.9062  0.2500
Sc  0.3353  0.2414  0.7500
Sc  0.6647  0.7586  0.2500
Sc  0.7586  0.0938  0.7500
Sc  0.9062  0.6647  0.7500
Pt  0.1208  0.4509  0.7500
Pt  0.3301  0.8792  0.7500
Pt  0.4509  0.3301  0.2500
Pt  0.5491  0.6699  0.7500
Pt  0.6699  0.1208  0.2500
Pt  0.8792  0.5491  0.2500



Entry 16:
## ScPt5 (GGA-PBE)

Data for a relaxed structure of ScPt5.

Output
uncorrected energy	-6.609	eV per atom
formation energy	-520	meV/atom
size of the total moment	0.00	Bohr magnetons per cell

abc: 5.2549 5.2549 5.2549
angles: 60.00 60.00 60.00
Element x y z (fractional)
Sc  0.0000  0.0000  0.0000
Pt  0.1261  0.6246  0.6246
Pt  0.2500  0.2500  0.2500
Pt  0.6246  0.1261  0.6246
Pt  0.6246  0.6246  0.1261
Pt  0.6246  0.6246  0.6246



Entry 17:
## ScPt (GGA-PBE)

Data for a relaxed structure of ScPt.

Output
uncorrected energy	-7.329	eV per atom
formation energy	-1143	meV/atom
size of the total moment	0.00	Bohr magnetons per cell

abc: 9.7141 8.1252 5.6181
angles: 90.00 90.00 90.00
Element x y z (fractional)
Sc  0.1197  0.2500  0.0000
Sc  0.1197  0.2500  0.5000
Sc  0.1839  0.6318  0.2500
Sc  0.1839  0.8682  0.7500
Sc  0.3760  0.0357  0.2500
Sc  0.3760  0.4643  0.7500
Sc  0.6240  0.5357  0.2500
Sc  0.6240  0.9643  0.7500
Sc  0.8161  0.1318  0.2500
Sc  0.8161  0.3682  0.7500
Sc  0.8803  0.7500  0.0000
Sc  0.8803  0.7500  0.5000
Pt  0.0710  0.5484  0.7500
Pt  0.0710  0.9516  0.2500
Pt  0.3474  0.1294  0.7500
Pt  0.3474  0.3706  0.2500
Pt  0.4148  0.7500  0.0000
Pt  0.4148  0.7500  0.5000
Pt  0.5852  0.2500  0.0000
Pt  0.5852  0.2500  0.5000
Pt  0.6526  0.6294  0.7500
Pt  0.6526  0.8706  0.2500
Pt  0.9290  0.0484  0.7500
Pt  0.9290  0.4516  0.2500



Entry 18:
## Sc4Pt3 (GGA-PBE)

Data for a relaxed structure of Sc4Pt3.

Output
uncorrected energy	-7.322	eV per atom
formation energy	-1115	meV/atom
size of the total moment	0.00	Bohr magnetons per cell
ΔE to the lowest computed polymorph	0.0	meV/atom

abc: 7.9643 7.9643 7.9643
angles: 33.67 33.67 33.67
Element x y z (fractional)
Sc  0.1222  0.1222  0.1222
Sc  0.3727  0.3727  0.3727
Sc  0.6273  0.6273  0.6273
Sc  0.8778  0.8778  0.8778
Pt  0.2498  0.2498  0.2498
Pt  0.5000  0.5000  0.5000
Pt  0.7502  0.7502  0.7502



Entry 19:
## Sc5Pt2 (GGA-PBE)

Data for a relaxed structure of Sc5Pt2.

Output
uncorrected energy	-7.067	eV per atom
formation energy	-818	meV/atom
size of the total moment	0.00	Bohr magnetons per cell

abc: 8.2642 8.2642 8.2642
angles: 132.70 67.44 134.87
Element x y z (fractional)
Sc  0.0201  0.2500  0.7701
Sc  0.0871  0.6483  0.7354
Sc  0.2500  0.2500  0.0000
Sc  0.4129  0.1483  0.5613
Sc  0.4799  0.2500  0.2299
Sc  0.5201  0.7500  0.7701
Sc  0.5871  0.8517  0.4387
Sc  0.7500  0.7500  0.0000
Sc  0.9129  0.3517  0.2646
Sc  0.9799  0.7500  0.2299
Pt  0.1242  0.2542  0.3784
Pt  0.3758  0.7542  0.1299
Pt  0.6242  0.2458  0.8701
Pt  0.8758  0.7458  0.6216



Entry 20:
## ScPt (GGA-PBE)

Data for a relaxed structure of ScPt.

Output
uncorrected energy	-7.329	eV per atom
formation energy	-1143	meV/atom
size of the total moment	0.00	Bohr magnetons per cell

abc: 4.1211 4.1211 5.5315
angles: 90.00 90.00 120.00
Element x y z (fractional)
Sc  0.3333  0.6667  0.2500
Sc  0.6667  0.3333  0.7500
Pt  0.0000  0.0000  0.0000
Pt  0.0000  0.0000  0.5000



Entry 21:
## ScPt (GGA-PBE)

Data for a relaxed structure of ScPt.

Output
uncorrected energy	-6.920	eV per atom
formation energy	-733	meV/atom
size of the total moment	0.00	Bohr magnetons per cell

abc: 4.5758 4.5758 5.3877
angles: 90.00 90.00 120.00
Element x y z (fractional)
Sc  0.3333  0.6667  0.2500
Sc  0.6667  0.3333  0.7500
Pt  0.3333  0.6667  0.7500
Pt  0.6667  0.3333  0.2500



Entry 22:
## Sc2Pt (GGA-PBE)

Data for a relaxed structure of Sc2Pt.

Output
uncorrected energy	-6.301	eV per atom
formation energy	-66	meV/atom
size of the total moment	0.55	Bohr magnetons per cell

abc: 5.4186 5.4186 5.4186
angles: 60.00 60.00 60.00
Element x y z (fractional)
Sc  0.0000  0.0000  0.0000
Sc  0.0000  0.0000  0.5000
Sc  0.0000  0.5000  0.0000
Sc  0.5000  0.0000  0.0000
Pt  0.3750  0.3750  0.3750
Pt  0.6250  0.6250  0.6250



Entry 23:
## ScPt3 (GGA-PBE)

Data for a relaxed structure of ScPt3.

Output
uncorrected energy	-6.754	eV per atom
formation energy	-641	meV/atom
size of the total moment	0.00	Bohr magnetons per cell

abc: 2.8682 2.8682 8.0119
angles: 90.00 90.00 90.00
Element x y z (fractional)
Sc  0.0000  0.0000  0.0000
Pt  0.0000  0.0000  0.5000
Pt  0.5000  0.5000  0.2435
Pt  0.5000  0.5000  0.7565



Entry 24:
## ScPt (GGA-PBE)

Data for a relaxed structure of ScPt.

Output
uncorrected energy	-7.144	eV per atom
formation energy	-958	meV/atom
size of the total moment	0.00	Bohr magnetons per cell

abc: 6.1905 6.1905 6.1905
angles: 100.00 100.00 130.76
Element x y z (fractional)
Sc  0.0596  0.3064  0.3661
Sc  0.3064  0.9404  0.2468
Sc  0.6936  0.0596  0.7532
Sc  0.9404  0.6936  0.6339
Pt  0.2696  0.5883  0.8579
Pt  0.4117  0.2696  0.6813
Pt  0.5883  0.7304  0.3187
Pt  0.7304  0.4117  0.1421